DFT (meta-GGA SCAN) results for a crystal of Li3PbCl relaxed with PBEsol.

a = 5.3203 Å, b = 5.3203 Å, c = 5.3203 Å
α = 90.00°, β = 90.00°, γ = 90.00°
Space group Pm-3m (No. 221)
Inequivalent atoms, fractional coordinates:
1 Li 0.0000 0.0000 0.5000 (multiplicity 3)
2 Pb 0.0000 0.0000 0.0000 (multiplicity 1)
3 Cl 0.5000 0.5000 0.5000 (multiplicity 1)

## Properties
For the energy relative to the elements, uncorrected, the calculation gives -108 kJ/mol of formula units.

***

DFT (meta-GGA SCAN) results for a crystal of Cr2FeP relaxed with PBEsol.

a = 2.8693 Å, b = 3.7377 Å, c = 3.9414 Å
α = 90.00°, β = 90.00°, γ = 90.00°
Space group Pmmm (No. 47)
Inequivalent atoms, fractional coordinates:
1 Cr 0.0000 0.0000 0.0000 (multiplicity 1)
2 Cr 0.5000 0.5000 0.0000 (multiplicity 1)
3 Fe 0.0000 0.5000 0.5000 (multiplicity 1)
4 P 0.5000 0.0000 0.5000 (multiplicity 1)

## Properties
As for the energy relative to the elements: -0.18 eV/atom.

***

DFT (meta-GGA SCAN) results for a crystal of KNiCl relaxed with PBEsol.

a = 7.1014 Å, b = 7.1014 Å, c = 7.1014 Å
α = 90.00°, β = 90.00°, γ = 90.00°
Space group F-43m (No. 216)
Inequivalent atoms, fractional coordinates:
1 K 0.0000 0.0000 0.0000 (multiplicity 4)
2 Ni 0.2500 0.2500 0.7500 (multiplicity 4)
3 Cl 0.2500 0.2500 0.2500 (multiplicity 4)

## Properties
For the energy relative to the elements, uncorrected, the calculation gives 45 kJ/mol of formula units.

***

DFT (meta-GGA SCAN) results for a crystal of Ho4RuBr5 relaxed with PBEsol.

a = 11.5500 Å, b = 11.5500 Å, c = 16.7805 Å
α = 90.00°, β = 90.00°, γ = 90.00°
Space group P4_2/nnm (No. 134, origin choice 2)
Inequivalent atoms, fractional coordinates:
1 Ho 0.0795 0.1339 0.1733 (multiplicity 16)
2 Ho 0.1172 0.6172 0.8438 (multiplicity 8)
3 Ho 0.1366 0.6366 0.5221 (multiplicity 8)
4 Ru 0.1489 0.6489 0.6807 (multiplicity 8)
5 Br 0.1102 0.6102 0.3400 (multiplicity 8)
6 Br 0.1181 0.1181 0.0000 (multiplicity 8)
7 Br 0.1234 0.6234 0.0219 (multiplicity 8)
8 Br 0.1248 0.1518 0.6612 (multiplicity 16)

## Properties
For the energy relative to the elements, uncorrected, the calculation gives -1526 kJ/mol of formula units.

***

DFT (meta-GGA SCAN) results for a crystal of La2MgTl relaxed with PBEsol.

a = 5.4616 Å, b = 5.4616 Å, c = 4.0032 Å
α = 90.00°, β = 90.00°, γ = 90.00°
Space group P4/mmm (No. 123)
Inequivalent atoms, fractional coordinates:
1 La 0.0000 0.5000 0.0000 (multiplicity 2)
2 Mg 0.0000 0.0000 0.5000 (multiplicity 1)
3 Tl 0.5000 0.5000 0.5000 (multiplicity 1)

## Properties
As for the energy relative to the elements: -0.40 eV/atom.

***

DFT (meta-GGA SCAN) results for a crystal of LaTlIn relaxed with PBEsol.

a = 4.9652 Å, b = 4.9652 Å, c = 3.9133 Å
α = 90.00°, β = 90.00°, γ = 120.00°
Space group P3m1 (No. 156)
Inequivalent atoms, fractional coordinates:
1 La 0.0000 0.0000 0.0000 (multiplicity 1)
2 Tl 0.3333 0.6667 0.3959 (multiplicity 1)
3 In 0.6667 0.3333 0.5759 (multiplicity 1)

## Properties
As for the energy relative to the elements: -0.61 eV/atom.

***

DFT (meta-GGA SCAN) results for a crystal of SrFe2Ag relaxed with PBEsol.

a = 3.1326 Å, b = 3.1326 Å, c = 7.3639 Å
α = 90.00°, β = 90.00°, γ = 90.00°
Space group P4mm (No. 99)
Inequivalent atoms, fractional coordinates:
1 Sr 0.0000 0.0000 0.0000 (multiplicity 1)
2 Fe 0.0000 0.0000 0.5578 (multiplicity 1)
3 Fe 0.5000 0.5000 0.6904 (multiplicity 1)
4 Ag 0.5000 0.5000 0.3278 (multiplicity 1)

## Properties
As for the energy relative to the elements: 0.38 eV/atom.

***

DFT (meta-GGA SCAN) results for a crystal of CsSiTe3 relaxed with PBEsol.

a = 8.2197 Å, b = 13.8492 Å, c = 13.2755 Å
α = 90.00°, β = 101.14°, γ = 90.00°
Space group Cc (No. 9)
Inequivalent atoms, fractional coordinates:
1 Cs 0.0000 0.0958 0.0000 (multiplicity 4)
2 Cs 0.3967 0.2496 0.2254 (multiplicity 4)
3 Si 0.0458 0.4445 0.0270 (multiplicity 4)
4 Si 0.4067 0.0793 0.7841 (multiplicity 4)
5 Te 0.0171 0.3791 0.4703 (multiplicity 4)
6 Te 0.1454 0.4974 0.2156 (multiplicity 4)
7 Te 0.1588 0.0246 0.2804 (multiplicity 4)
8 Te 0.2439 0.3484 0.9528 (multiplicity 4)
9 Te 0.2560 0.1326 0.4959 (multiplicity 4)
10 Te 0.3461 0.2360 0.6898 (multiplicity 4)

## Properties
For the energy relative to the elements, uncorrected, the calculation gives -258 kJ/mol of formula units.

***

DFT (meta-GGA SCAN) results for a crystal of HoSnAu2 relaxed with PBEsol.

a = 6.8889 Å, b = 6.8889 Å, c = 6.8889 Å
α = 90.00°, β = 90.00°, γ = 90.00°
Space group Fm-3m (No. 225)
Inequivalent atoms, fractional coordinates:
1 Ho 0.0000 0.0000 0.0000 (multiplicity 4)
2 Sn 0.0000 0.0000 0.5000 (multiplicity 4)
3 Au 0.2500 0.2500 0.2500 (multiplicity 8)

## Properties
As for the energy relative to the elements: -0.79 eV/atom.

***

DFT (meta-GGA SCAN) results for a crystal of LiBe3 relaxed with PBEsol.

a = 2.2445 Å, b = 3.7617 Å, c = 4.2816 Å
α = 90.00°, β = 90.00°, γ = 90.00°
Space group Pmm2 (No. 25)
Inequivalent atoms, fractional coordinates:
1 Li 0.0000 0.0000 0.0000 (multiplicity 1)
2 Be 0.0000 0.5000 0.6809 (multiplicity 1)
3 Be 0.5000 0.0000 0.5031 (multiplicity 1)
4 Be 0.5000 0.5000 0.2190 (multiplicity 1)

## Properties
As for the energy relative to the elements: 0.20 eV/atom.

***

DFT (meta-GGA SCAN) results for a crystal of Co3SbIr relaxed with PBEsol.

a = 4.4407 Å, b = 4.4407 Å, c = 4.4407 Å
α = 90.00°, β = 90.00°, γ = 90.00°
Space group Pm-3m (No. 221)
Inequivalent atoms, fractional coordinates:
1 Co 0.0000 0.0000 0.5000 (multiplicity 3)
2 Sb 0.0000 0.0000 0.0000 (multiplicity 1)
3 Ir 0.5000 0.5000 0.5000 (multiplicity 1)

## Properties
For the energy relative to the elements, uncorrected, the calculation gives 860 kJ/mol of formula units.

***

DFT (meta-GGA SCAN) results for a crystal of ScCdPb2 relaxed with PBEsol.

a = 3.5147 Å, b = 4.2474 Å, c = 6.5795 Å
α = 90.00°, β = 90.00°, γ = 90.00°
Space group Pmmm (No. 47)
Inequivalent atoms, fractional coordinates:
1 Sc 0.0000 0.0000 0.0000 (multiplicity 1)
2 Cd 0.0000 0.0000 0.5000 (multiplicity 1)
3 Pb 0.5000 0.5000 0.2437 (multiplicity 2)

## Properties
As for the energy relative to the elements: -0.21 eV/atom.

***

| no. | calculated density (g/cm3) |
| --- | --- |
| 1 | 2.905 |
| 2 | 7.496 |
| 3 | 2.471 |
| 4 | 6.886 |
| 5 | 7.043 |
| 6 | 9.105 |
| 7 | 7.059 |
| 8 | 4.872 |
| 9 | 13.766 |
| 10 | 1.561 |
| 11 | 9.307 |
| 12 | 9.666 |